Entry 1:
# BiIBr4

A geometry-optimized BiIBr4 structure (PBE-GGA, Alexandria via LeMat-Bulk).

As for the space group: C2/c. The calculation puts the size of the total moment at 0.00 Bohr magnetons per cell. The calculation puts the final energy at -30.22 eV for the cell shown.

Cell: 7.3656 8.3171 10.7772 Å, 67.30 88.42 85.90°
Closest atoms and distances in Å follow each position.
Fractional positions:
I1 0.7500 0.6543 0.1914  2 Br 2.73
Br1 0.1022 0.6507 0.8190  1 I 2.73, 1 Bi 2.91
Br2 0.8978 0.3493 0.1810  1 I 2.73, 1 Bi 2.91
Br3 0.9123 0.1512 0.5977  2 Bi 2.89-2.92
Bi1 0.7500 0.0520 0.3961  6 Br 2.89-2.92
Br4 0.3978 0.0303 0.8190  1 I 2.73, 1 Bi 2.91
Br5 0.4123 0.2489 0.4023  2 Bi 2.89-2.92
I2 0.2500 0.3457 0.8086  2 Br 2.73
Br6 0.0877 0.8488 0.4023  2 Bi 2.89-2.92
Br7 0.6022 0.9697 0.1810  1 I 2.73, 1 Bi 2.91
Bi2 0.2500 0.9480 0.6039  6 Br 2.89-2.92
Br8 0.5877 0.7511 0.5977  2 Bi 2.89-2.92

Entry 2:
# Ac2Al2Au

A geometry-optimized Ac2Al2Au structure (PBE-GGA, Alexandria via LeMat-Bulk).

The offset from the most stable computed form comes out at 12 meV/atom. As for the space group: C2/m. The calculation puts the size of the total moment at 0.00 Bohr magnetons per cell. The formation energy comes out at -2.5 eV per formula unit. The calculation puts the final energy at -42.88 eV for the cell shown.

Cell: 4.7768 6.6390 9.7893 Å, 105.77 90.00 111.09°
Closest atoms and distances in Å follow each position.
Fractional positions:
Al1 0.0389 0.0778 0.1472  1 Au 2.69, 2 Al 2.76-2.86
Au1 0.7376 0.4753 0.7221  3 Al 2.69-2.76
Ac1 0.6412 0.2825 0.9830  1 Au 3.12, 4 Al 3.26-3.33
Ac2 0.6119 0.2238 0.3913  3 Au 3.16-3.41, 2 Al 3.31
Al2 0.1209 0.2418 0.6934  2 Au 2.76, 1 Al 2.86
Ac3 0.3588 0.7175 0.0170  1 Au 3.12, 4 Al 3.26-3.33
Au2 0.2624 0.5247 0.2779  3 Al 2.69-2.76
Al3 0.8791 0.7582 0.3066  2 Au 2.76, 1 Al 2.86
Al4 0.9611 0.9222 0.8528  1 Au 2.69, 2 Al 2.76-2.86
Ac4 0.3881 0.7762 0.6087  3 Au 3.16-3.41, 2 Al 3.31

Entry 3:
# Pm2AlNi6B

A geometry-optimized Pm2AlNi6B structure (PBE-GGA, Alexandria via LeMat-Bulk).

As for the space group: P-3m1. The calculation puts the size of the total moment at 0.00 Bohr magnetons per cell. The formation energy comes out at -4.2 eV per formula unit. The calculation puts the final energy at -58.84 eV for the cell shown.

Cell: 5.7491 5.4315 5.4315 Å, 120.00 90.00 90.00°
Closest atoms and distances in Å follow each position.
Fractional positions:
Ni1 0.8221 0.1809 0.3618  1 B 1.99
Pm1 0.6826 0.6667 0.3333  6 Ni 2.83
Pm2 0.3174 0.3333 0.6667  6 Ni 2.83
Ni2 0.8221 0.1809 0.8191  1 B 1.99
Ni3 0.1779 0.8191 0.1809  1 B 1.99
Ni4 0.1779 0.8191 0.6382  1 B 1.99
Al1 0.5000 0.0000 0.0000  6 Ni 2.52
Ni5 0.8221 0.6382 0.8191  1 B 1.99
Ni6 0.1779 0.3618 0.1809  1 B 1.99
B1 0.0000 0.0000 0.0000  6 Ni 1.99